Tc2AgHg: optimized geometry, GGA-PBE.

Cell: 5.9767 5.9767 5.9767 Å, 100.87 100.87 128.53°
Last column: nearest neighbours and their distance in Å.
Element x y z (fractional)
Tc: 0.1220 0.6250 0.9970  2 Tc 2.60, 2 Ag 2.75, 2 Hg 2.78
Tc: 0.3750 0.3720 0.4970  2 Tc 2.60, 2 Ag 2.75, 2 Hg 2.78
Tc: 0.6280 0.1250 0.0030  2 Tc 2.60, 2 Ag 2.75, 2 Hg 2.78
Tc: 0.8750 0.8780 0.5030  2 Tc 2.60, 2 Ag 2.75, 2 Hg 2.78
Ag: 0.0000 0.0000 0.0000  2 Hg 2.60, 4 Tc 2.75
Ag: 0.7500 0.2500 0.5000  2 Hg 2.60, 4 Tc 2.75
Hg: 0.2500 0.7500 0.5000  2 Ag 2.60, 4 Tc 2.78
Hg: 0.5000 0.5000 0.0000  2 Ag 2.60, 4 Tc 2.78

Calculated values
Final energy in eV/atom: -4.7808
Total magnetic moment in μB/cell: 5.1
Energy relative to the elements in eV/atom: 1.1904

PmEr3Tm2Te6: optimized geometry, GGA-PBE.

Cell: 9.6659 9.6659 8.7539 Å, 101.76 101.76 25.68°
Last column: nearest neighbours and their distance in Å.
Element x y z (fractional)
Pm: 0.0000 0.0000 0.0000  6 Te 3.12-3.19
Er: 0.0000 0.0000 0.5000  6 Te 3.01-3.11
Er: 0.3406 0.3406 0.1635  6 Te 2.99-3.10
Er: 0.6594 0.6594 0.8365  6 Te 2.99-3.10
Tm: 0.3366 0.3366 0.6680  6 Te 2.97-3.10
Tm: 0.6634 0.6634 0.3320  6 Te 2.97-3.10
Te: 0.1687 0.1687 0.5860  3 Tm 3.08-3.10, 3 Er 3.10-3.11
Te: 0.1730 0.1730 0.0906  2 Tm 3.05, 3 Er 3.06-3.09, 1 Pm 3.19
Te: 0.4977 0.4977 0.7401  1 Tm 2.97, 3 Er 2.99-3.01, 2 Pm 3.12
Te: 0.5023 0.5023 0.2599  1 Tm 2.97, 3 Er 2.99-3.01, 2 Pm 3.12
Te: 0.8270 0.8270 0.9094  2 Tm 3.05, 3 Er 3.06-3.09, 1 Pm 3.19
Te: 0.8313 0.8313 0.4140  3 Tm 3.08-3.10, 3 Er 3.10-3.11

Calculated values
Final energy in eV/atom: -5.0834
Total magnetic moment in μB/cell: 0.0
Formation energy (no corrections) in eV/atom: -1.23

Rb2BeICl6: optimized geometry, GGA-PBE.

Cell: 7.6492 7.6492 7.6492 Å, 120.05 120.05 89.91°
Last column: nearest neighbours and their distance in Å.
Element x y z (fractional)
Rb: 0.2500 0.7500 0.5000  12 Cl 3.83-3.87
Rb: 0.7500 0.2500 0.5000  12 Cl 3.83-3.87
Be: 0.0000 0.0000 0.0000  4 Cl 2.14
I: 0.5000 0.5000 0.0000  2 Cl 2.51
Cl: 0.1982 0.1982 0.3964  1 Be 2.14
Cl: 0.1982 0.8018 0.0000  1 Be 2.14
Cl: 0.2679 0.2679 0.0000  1 I 2.51
Cl: 0.7321 0.7321 0.0000  1 I 2.51
Cl: 0.8018 0.1982 0.0000  1 Be 2.14
Cl: 0.8018 0.8018 0.6036  1 Be 2.14

Calculated values
Final energy in eV/atom: -2.9063
Total magnetic moment in μB/cell: 0.0
Formation energy (no corrections) in eV/atom: -1.08

Sc3TlS6: optimized geometry, GGA-PBE.

Cell: 8.2016 8.2016 6.3986 Å, 90.00 90.00 103.26°
Last column: nearest neighbours and their distance in Å.
Element x y z (fractional)
Sc: 0.0907 0.9093 0.5000  7 S 2.62-2.79
Sc: 0.2167 0.4079 0.4026  6 S 2.57-2.82
Sc: 0.4079 0.2167 0.9026  6 S 2.57-2.82
Sc: 0.5921 0.7833 0.4026  6 S 2.57-2.82
Sc: 0.7833 0.5921 0.9026  6 S 2.57-2.82
Sc: 0.9093 0.0907 0.0000  7 S 2.62-2.79
Tl: 0.2951 0.7049 0.8979  4 S 2.48-2.61
Tl: 0.7049 0.2951 0.3979  4 S 2.48-2.61
S: 0.0398 0.6024 0.6604  1 Tl 2.57, 2 Sc 2.60-2.66
S: 0.1273 0.1992 0.7042  4 Sc 2.57-2.67
S: 0.1992 0.1273 0.2042  4 Sc 2.57-2.67
S: 0.2794 0.7206 0.2844  1 Tl 2.48, 2 Sc 2.61
S: 0.3976 0.9602 0.6604  1 Tl 2.57, 2 Sc 2.60-2.66
S: 0.4714 0.5286 0.6962  1 Tl 2.61, 4 Sc 2.81-2.82
S: 0.5286 0.4714 0.1962  1 Tl 2.61, 4 Sc 2.81-2.82
S: 0.6024 0.0398 0.1604  1 Tl 2.57, 2 Sc 2.60-2.66
S: 0.7206 0.2794 0.7844  1 Tl 2.48, 2 Sc 2.61
S: 0.8008 0.8727 0.7042  4 Sc 2.57-2.67
S: 0.8727 0.8008 0.2042  4 Sc 2.57-2.67
S: 0.9602 0.3976 0.1604  1 Tl 2.57, 2 Sc 2.60-2.66

Calculated values
Final energy in eV/atom: -5.9665
Total magnetic moment in μB/cell: 0.0
Formation energy (no corrections) in eV/atom: -1.35

Sm4SnRu: optimized geometry, GGA-PBE.

Cell: 8.2081 8.2081 6.2525 Å, 103.05 103.05 113.53°
Last column: nearest neighbours and their distance in Å.
Element x y z (fractional)
Sm: 0.0603 0.7171 0.9328  2 Ru 2.97, 2 Sn 3.26-3.30
Sm: 0.2124 0.3510 0.6581  2 Ru 2.92-2.98, 1 Sn 3.25
Sm: 0.2829 0.9397 0.5672  2 Ru 2.97, 2 Sn 3.26-3.30
Sm: 0.3510 0.2124 0.1581  2 Ru 2.92-2.98, 1 Sn 3.25
Sm: 0.6490 0.7876 0.8419  2 Ru 2.92-2.98, 1 Sn 3.25
Sm: 0.7171 0.0603 0.4328  2 Ru 2.97, 2 Sn 3.26-3.30
Sm: 0.7876 0.6490 0.3419  2 Ru 2.92-2.98, 1 Sn 3.25
Sm: 0.9397 0.2829 0.0672  2 Ru 2.97, 2 Sn 3.26-3.30
Sn: 0.3726 0.6274 0.2500  8 Sm 3.25-3.49
Sn: 0.6274 0.3726 0.7500  8 Sm 3.25-3.49
Ru: 0.0003 0.9997 0.2500  8 Sm 2.92-2.98, 2 Ru 3.13
Ru: 0.9997 0.0003 0.7500  8 Sm 2.92-2.98, 2 Ru 3.13

Calculated values
Final energy in eV/atom: -5.7800
Total magnetic moment in μB/cell: 0.0
Energy relative to the elements in eV/atom: -0.4208

Ba2Bi2Pb: optimized geometry, GGA-PBE.

Cell: 9.2448 9.2448 9.2448 Å, 129.50 72.46 131.71°
Last column: nearest neighbours and their distance in Å.
Element x y z (fractional)
Ba: 0.1372 0.1910 0.3282  5 Bi 3.57-3.94, 2 Pb 3.70
Ba: 0.3628 0.6910 0.0538  5 Bi 3.57-3.94, 2 Pb 3.70
Ba: 0.6372 0.3090 0.9462  5 Bi 3.57-3.94, 2 Pb 3.70
Ba: 0.8628 0.8090 0.6718  5 Bi 3.57-3.94, 2 Pb 3.70
Bi: 0.1242 0.7386 0.8627  2 Pb 3.25, 2 Ba 3.57-3.58
Bi: 0.3758 0.2386 0.6144  2 Pb 3.25, 2 Ba 3.57-3.58
Bi: 0.6242 0.7614 0.3856  2 Pb 3.25, 2 Ba 3.57-3.58
Bi: 0.8758 0.2614 0.1373  2 Pb 3.25, 2 Ba 3.57-3.58
Pb: 0.2500 0.7500 0.5000  4 Bi 3.25
Pb: 0.7500 0.2500 0.5000  4 Bi 3.25

Calculated values
Final energy in eV/atom: -3.6895
Total magnetic moment in μB/cell: 0.0
Energy relative to the elements in eV/atom: -0.6263

Question: total magnetic moment of number 6 (Ba2Bi2Pb)?
Answer: 0.0 μB/cell